RbBi3Au3 | GGA-PBE | optimized geometry

SG = No. 148
energy above the lowest structure with this stoichiometry = 81 meV per atom
magnetization = 0.00 Bohr magnetons per cell
formation enthalpy at 0 K = -38 meV per atom
VASP energy = -3.24 eV/atom

Cell: 9.7801 9.7801 9.7801 Å, 50.10 50.10 50.10°
Fractional positions:
Rb 0.1668 0.1668 0.1668
Rb 0.8332 0.8332 0.8332
Bi 0.1123 0.3849 0.6746
Bi 0.3254 0.8877 0.6151
Bi 0.3849 0.6746 0.1123
Bi 0.6151 0.3254 0.8877
Bi 0.6746 0.1123 0.3849
Bi 0.8877 0.6151 0.3254
Au 0.0007 0.2274 0.6020
Au 0.2274 0.6020 0.0007
Au 0.3980 0.9993 0.7726
Au 0.6020 0.0007 0.2274
Au 0.7726 0.3980 0.9993
Au 0.9993 0.7726 0.3980

---

Ac2TmAs3Rh4 | GGA-PBE | optimized geometry

SG = No. 115
magnetization = 0.00 Bohr magnetons per cell
formation enthalpy at 0 K = -955 meV per atom
VASP energy = -6.56 eV/atom

Cell: 4.2510 4.2510 11.4071 Å, 90.00 90.00 90.00°
Fractional positions:
Ac 0.0000 0.5000 0.2334
Ac 0.5000 0.0000 0.7666
Tm 0.0000 0.0000 0.5000
As 0.0000 0.5000 0.8752
As 0.5000 0.0000 0.1248
As 0.5000 0.5000 0.5000
Rh 0.0000 0.0000 0.0000
Rh 0.0000 0.5000 0.6543
Rh 0.5000 0.0000 0.3457
Rh 0.5000 0.5000 0.0000

---

GdAlRu | GGA-PBE | optimized geometry

SG = No. 107
magnetization = 7.03 Bohr magnetons per cell
formation enthalpy at 0 K = -452 meV per atom
VASP energy = -9.49 eV/atom

Cell: 5.8543 5.8543 5.8543 Å, 147.55 147.55 46.55°
Fractional positions:
Gd 0.0000 0.0000 0.0000
Al 0.2841 0.2841 0.0000
Ru 0.6790 0.6790 0.0000

---

LaCo2Au2 | GGA-PBE | optimized geometry

SG = No. 139
energy above the lowest structure with this stoichiometry = 0 meV per atom
magnetization = 2.70 Bohr magnetons per cell
formation enthalpy at 0 K = -178 meV per atom
VASP energy = -5.32 eV/atom

Cell: 6.1379 6.1379 6.1379 Å, 139.74 139.74 58.24°
Fractional positions:
La 0.0000 0.0000 0.0000
Co 0.4003 0.4003 0.0000
Co 0.5997 0.5997 0.0000
Au 0.2500 0.7500 0.5000
Au 0.7500 0.2500 0.5000

---

KGeBi | GGA-PBE | optimized geometry

SG = No. 2
energy above the lowest structure with this stoichiometry = 0 meV per atom
magnetization = 0.00 Bohr magnetons per cell
formation enthalpy at 0 K = -87 meV per atom
VASP energy = -3.29 eV/atom

Cell: 4.2661 6.4463 8.3850 Å, 100.69 90.10 109.01°
Fractional positions:
K 0.1077 0.2168 0.3832
K 0.8923 0.7832 0.6168
Ge 0.1067 0.2179 0.9860
Ge 0.8933 0.7821 0.0140
Bi 0.3600 0.7153 0.2191
Bi 0.6400 0.2847 0.7809

---

Co2WSe | GGA-PBE | optimized geometry

SG = No. 123
formation energy (no corrections) = 0.78 eV/f.u.
magnetization = 0.00 Bohr magnetons per cell
VASP energy = -7.47 eV/atom

Cell: 3.2319 3.2319 5.1624 Å, 90.00 90.00 90.00°
Fractional positions:
Co 0.0000 0.0000 0.2361
Co 0.0000 0.0000 0.7639
W 0.5000 0.5000 0.0000
Se 0.5000 0.5000 0.5000

---

BaMg4Sn3 | GGA-PBE | optimized geometry

SG = No. 123
magnetization = 0.00 Bohr magnetons per cell
formation enthalpy at 0 K = -377 meV per atom
VASP energy = -2.92 eV/atom

Cell: 4.9309 4.9309 9.3766 Å, 90.00 90.00 90.00°
Fractional positions:
Ba 0.0000 0.0000 0.0000
Mg 0.0000 0.5000 0.3212
Mg 0.0000 0.5000 0.6788
Mg 0.5000 0.0000 0.3212
Mg 0.5000 0.0000 0.6788
Sn 0.0000 0.0000 0.5000
Sn 0.5000 0.5000 0.1544
Sn 0.5000 0.5000 0.8456

---

TaTcRu2 | GGA-PBE | optimized geometry

SG = No. 25
energy above the lowest structure with this stoichiometry = 96 meV per atom
magnetization = 0.00 Bohr magnetons per cell
formation enthalpy at 0 K = -29 meV per atom
VASP energy = -10.22 eV/atom

Cell: 2.8537 3.7727 5.6590 Å, 90.00 90.00 90.00°
Fractional positions:
Ta 0.0000 0.0000 0.0000
Tc 0.5000 0.5000 0.2836
Ru 0.0000 0.0000 0.4944
Ru 0.5000 0.5000 0.7586

---

CaP3Pt | GGA-PBE | optimized geometry

SG = No. 63
energy above the lowest structure with this stoichiometry = 0 meV per atom
magnetization = 0.00 Bohr magnetons per cell
formation enthalpy at 0 K = -508 meV per atom
VASP energy = -5.36 eV/atom

Cell: 6.8912 6.8912 7.7847 Å, 90.00 90.00 148.96°
Fractional positions:
Ca 0.2069 0.7931 0.7500
Ca 0.7931 0.2069 0.2500
P 0.1135 0.8865 0.2500
P 0.3803 0.6197 0.5122
P 0.3803 0.6197 0.9878
P 0.6197 0.3803 0.0122
P 0.6197 0.3803 0.4878
P 0.8865 0.1135 0.7500
Pt 0.0000 0.0000 0.0000
Pt 0.0000 0.0000 0.5000

---

Tb2ScTi | GGA-PBE | optimized geometry

SG = No. 123
energy above the lowest structure with this stoichiometry = 0 meV per atom
magnetization = 0.00 Bohr magnetons per cell
formation enthalpy at 0 K = 171 meV per atom
VASP energy = -5.70 eV/atom

Cell: 3.3613 3.3613 9.1516 Å, 90.00 90.00 90.00°
Fractional positions:
Tb 0.0000 0.0000 0.2313
Tb 0.0000 0.0000 0.7687
Sc 0.5000 0.5000 0.5000
Ti 0.5000 0.5000 0.0000

---

ScSbRu3 | GGA-PBE | optimized geometry

SG = No. 221
formation energy (no corrections) = 6.40 eV/f.u.
energy above the lowest structure with this stoichiometry = 314 meV per atom
magnetization = 0.00 Bohr magnetons per cell
VASP energy = -6.38 eV/atom

Cell: 4.6217 4.6217 4.6217 Å, 90.00 90.00 90.00°
Fractional positions:
Sc 0.0000 0.0000 0.0000
Sb 0.5000 0.5000 0.5000
Ru 0.0000 0.0000 0.5000
Ru 0.0000 0.5000 0.0000
Ru 0.5000 0.0000 0.0000

---

K3CrRh2Se6 | GGA-PBE | optimized geometry

SG = No. 12
formation energy (no corrections) = -8.95 eV/f.u.
magnetization = 2.96 Bohr magnetons per cell
VASP energy = -4.79 eV/atom

Cell: 6.7189 6.7189 7.5754 Å, 98.49 98.49 119.99°
Fractional positions:
K 0.0000 0.0000 0.0000
K 0.3330 0.6670 0.0000
K 0.6670 0.3330 0.0000
Cr 0.5000 0.5000 0.5000
Rh 0.1666 0.8334 0.5000
Rh 0.8334 0.1666 0.5000
Se 0.1070 0.4427 0.3279
Se 0.2217 0.2217 0.6723
Se 0.4427 0.1070 0.3279
Se 0.5573 0.8930 0.6721
Se 0.7783 0.7783 0.3277
Se 0.8930 0.5573 0.6721